A plane-wave DFT calculation with GGA-PBE was carried out for an optimized crystal structure of La4MgHg3.

For the density of states at the Fermi level, the calculation gives 10.51 states/eV per cell. Its formation energy is -0.402 eV/atom.

It has space group P4/mmm (No. 123), with a = 3.931 Å, b = 3.931 Å, c = 15.623 Å, α = 90.00°, β = 90.00° and γ = 90.00°. The asymmetric unit holds La at (0.000, 0.000, 0.124), La at (0.000, 0.000, 0.372), Mg at (0.500, 0.500, 0.500), Hg at (0.500, 0.500, 0.000) and Hg at (0.500, 0.500, 0.253).